# 1
Computed, not measured: a relaxed Mn2InRh2 crystal at the PBE-GGA level of DFT.

Geometry as CIF:
```
data_Mn2InRh2
_space_group_name_H-M_alt 'I 4/m m m'
_space_group_IT_number 139
_space_group_name_Hall '-I 4 2'
_cell_length_a 3.296
_cell_length_b 3.296
_cell_length_c 13.629
_cell_angle_alpha 90.00
_cell_angle_beta 90.00
_cell_angle_gamma 90.00
loop_
_atom_site_label
_atom_site_type_symbol
_atom_site_fract_x
_atom_site_fract_y
_atom_site_fract_z
Mn1 Mn 0.000 0.500 0.250
In1 In 0.000 0.000 0.000
Rh1 Rh 0.000 0.000 0.391
```

## Properties
Crystal system: tetragonal
ρ (g/cm3): 9.65
Offset from the most stable computed form (eV/atom): 0.126
Energy of formation (eV per atom): 0.1441


# 2
Computed, not measured: a relaxed Yb5Si3SO12 crystal at the PBE-GGA level of DFT.

Geometry as CIF:
```
data_Yb5Si3SO12
_space_group_name_H-M_alt 'P 63/m'
_space_group_IT_number 176
_space_group_name_Hall '-P 6c'
_cell_length_a 10.0171
_cell_length_b 10.0171
_cell_length_c 6.4820
_cell_angle_alpha 90.00
_cell_angle_beta 90.00
_cell_angle_gamma 120.00
loop_
_atom_site_label
_atom_site_type_symbol
_atom_site_fract_x
_atom_site_fract_y
_atom_site_fract_z
Yb1 Yb 0.0377 0.7661 0.2500
Yb2 Yb 0.3333 0.6667 0.5065
Si1 Si 0.0285 0.4154 0.2500
S1 S 0.0000 0.0000 0.0000
O1 O 0.0857 0.3545 0.0500
O2 O 0.1408 0.6066 0.2500
O3 O 0.1521 0.6348 0.7500
```

## Properties
Crystal system: hexagonal
ρ (g/cm3): 6.92
Uncorrected formation energy (eV/f.u.): -59.99


# 3
Computed, not measured: a relaxed TlHg2PdBr8 crystal at the PBE-GGA level of DFT.

Geometry as CIF:
```
data_TlHg2PdBr8
_space_group_name_H-M_alt 'P -1'
_space_group_IT_number 2
_space_group_name_Hall '-P 1'
_cell_length_a 6.868
_cell_length_b 8.116
_cell_length_c 8.225
_cell_angle_alpha 87.91
_cell_angle_beta 77.25
_cell_angle_gamma 89.74
loop_
_atom_site_label
_atom_site_type_symbol
_atom_site_fract_x
_atom_site_fract_y
_atom_site_fract_z
Tl1 Tl 0.000 0.000 0.000
Hg1 Hg 0.500 0.446 0.734
Pd1 Pd 0.000 0.000 0.500
Br1 Br 0.229 0.893 0.671
Br2 Br 0.233 0.886 0.258
Br3 Br 0.257 0.383 0.475
Br4 Br 0.267 0.336 0.993
```

## Properties
Crystal system: triclinic
ρ (g/cm3): 5.02
Uncorrected formation energy (eV/f.u.): -4.84


# 4
Computed, not measured: a relaxed BaCeO3 crystal at the PBE-GGA level of DFT.

Geometry as CIF:
```
data_BaCeO3
_space_group_name_H-M_alt 'P m -3 m'
_space_group_IT_number 221
_space_group_name_Hall '-P 4 2 3'
_cell_length_a 4.473
_cell_length_b 4.473
_cell_length_c 4.473
_cell_angle_alpha 90.00
_cell_angle_beta 90.00
_cell_angle_gamma 90.00
loop_
_atom_site_label
_atom_site_type_symbol
_atom_site_fract_x
_atom_site_fract_y
_atom_site_fract_z
Ba1 Ba 0.000 0.000 0.000
Ce1 Ce 0.500 0.500 0.500
O1 O 0.000 0.500 0.500
```

## Properties
Crystal system: cubic
ρ (g/cm3): 6.04
Uncorrected formation energy (eV/f.u.): -15.65